# SrZnAg2

A geometry-optimized SrZnAg2 structure (PBE-GGA, the Open Quantum Materials Database).

abc: 5.0733 5.0733 5.0733
angles: 60.00 60.00 60.00
Element x y z (fractional)
Ag: 0.0000 0.0000 0.0000
Ag: 0.7500 0.7500 0.7500
Sr: 0.5000 0.5000 0.5000
Zn: 0.2500 0.2500 0.2500

electronic total energy = -2.26 eV/atom
symmetry = F-43m (216)